Rb3Na2UCl9: optimized geometry, PBE.

Cell: 7.679 7.679 9.715 Å, 90.00 90.00 120.00°
Fractional positions:
1 Rb 0.000 0.000 0.000
2 Rb 0.333 0.667 0.750
3 Rb 0.667 0.333 0.250
4 Na 0.333 0.667 0.154
5 Na 0.667 0.333 0.846
6 U 0.000 0.000 0.500
7 Cl 0.000 0.500 0.000
8 Cl 0.160 0.319 0.341
9 Cl 0.160 0.840 0.341
10 Cl 0.319 0.160 0.659
11 Cl 0.500 0.000 0.000
12 Cl 0.500 0.500 0.000
13 Cl 0.681 0.840 0.341
14 Cl 0.840 0.160 0.659
15 Cl 0.840 0.681 0.659

* theoretical density: 2.88 g cm⁻³
* ΔE_f (raw): -1.843 eV per atom
* M_tot: 2.00 μB per cell
* density of states at the Fermi level: 5.4 states/eV/f.u.


RbNa2UCl8: optimized geometry, PBE.

Cell: 6.758 6.795 9.642 Å, 82.13 82.84 84.44°
Fractional positions:
1 Rb 0.000 0.000 0.000
2 Na 0.446 0.440 0.187
3 Na 0.554 0.560 0.813
4 U 0.000 0.000 0.500
5 Cl 0.177 0.787 0.692
6 Cl 0.194 0.800 0.316
7 Cl 0.272 0.239 0.463
8 Cl 0.324 0.310 0.971
9 Cl 0.676 0.690 0.029
10 Cl 0.728 0.761 0.537
11 Cl 0.806 0.200 0.684
12 Cl 0.823 0.213 0.308

* theoretical density: 2.50 g cm⁻³
* ΔE_f (raw): -1.706 eV per atom
* M_tot: 0.92 μB per cell


Rb3NaV2Cl9: optimized geometry, PBE.

Cell: 7.194 7.194 8.902 Å, 90.00 90.00 120.00°
Fractional positions:
1 Rb 0.000 0.000 0.000
2 Rb 0.333 0.667 0.660
3 Rb 0.667 0.333 0.340
4 Na 0.000 0.000 0.500
5 V 0.333 0.667 0.161
6 V 0.667 0.333 0.839
7 Cl 0.000 0.500 0.000
8 Cl 0.176 0.352 0.315
9 Cl 0.176 0.824 0.315
10 Cl 0.352 0.176 0.685
11 Cl 0.500 0.000 0.000
12 Cl 0.500 0.500 0.000
13 Cl 0.648 0.824 0.315
14 Cl 0.824 0.176 0.685
15 Cl 0.824 0.648 0.685

* theoretical density: 2.92 g cm⁻³
* ΔE_f (raw): -1.597 eV per atom
* M_tot: 5.00 μB per cell
* density of states at the Fermi level: 13.0 states/eV/f.u.


RbNa2VCl8: optimized geometry, PBE.

Cell: 5.880 6.327 9.120 Å, 90.03 90.16 93.05°
Fractional positions:
1 Rb 0.000 0.000 0.000
2 Na 0.499 0.500 0.733
3 Na 0.501 0.500 0.267
4 V 0.000 0.000 0.500
5 Cl 0.225 0.863 0.321
6 Cl 0.227 0.865 0.680
7 Cl 0.229 0.313 0.499
8 Cl 0.250 0.492 0.000
9 Cl 0.750 0.508 0.000
10 Cl 0.771 0.687 0.501
11 Cl 0.773 0.135 0.320
12 Cl 0.775 0.137 0.679

* theoretical density: 2.28 g cm⁻³
* ΔE_f (raw): -1.338 eV per atom
* M_tot: 1.13 μB per cell
* density of states at the Fermi level: 6.6 states/eV/f.u.


RbNaVCl6: optimized geometry, PBE.

Cell: 6.886 6.886 6.981 Å, 90.00 90.00 120.00°
Fractional positions:
1 Rb 0.000 0.000 0.000
2 Na 0.333 0.667 0.500
3 V 0.667 0.333 0.500
4 Cl 0.398 0.052 0.694
5 Cl 0.398 0.345 0.306
6 Cl 0.655 0.052 0.306
7 Cl 0.655 0.602 0.694
8 Cl 0.948 0.345 0.694
9 Cl 0.948 0.602 0.306

* theoretical density: 2.16 g cm⁻³
* ΔE_f (raw): -1.459 eV per atom
* M_tot: 1.00 μB per cell
* density of states at the Fermi level: 8.0 states/eV/f.u.


RbNa2VCl6: optimized geometry, PBE.

Cell: 7.595 7.595 7.595 Å, 55.49 55.49 55.49°
Fractional positions:
1 Rb 0.000 0.000 0.000
2 Na 0.283 0.283 0.283
3 Na 0.802 0.802 0.802
4 V 0.478 0.478 0.478
5 Cl 0.112 0.642 0.448
6 Cl 0.265 0.543 0.835
7 Cl 0.448 0.112 0.642
8 Cl 0.543 0.835 0.265
9 Cl 0.642 0.448 0.112
10 Cl 0.835 0.265 0.543

* theoretical density: 2.37 g cm⁻³
* ΔE_f (raw): -1.577 eV per atom
* M_tot: 2.00 μB per cell
* density of states at the Fermi level: 10.7 states/eV/f.u.